A plane-wave DFT calculation with PBE-GGA was carried out for an optimized crystal structure of Ca2HO2.

The space group is Cmc2_1 (No. 36) and the conventional cell measures 3.4968, 15.3741 and 6.3471 Å, with angles of 90.00, 90.00 and 90.00 degrees. The inequivalent atoms are Ca at (0.0000, 0.0453, 0.0000), Ca at (0.0000, 0.2502, 0.6631), H at (0.0000, 0.4256, 0.8509), O at (0.0000, 0.1896, 0.9937) and O at (0.0000, 0.4815, 0.7682).

The electronic total energy is -5.46 eV per atom. The value obtained for the calculated density is 2.203 Mg/m³.

A plane-wave DFT calculation with PBE-GGA was carried out for an optimized crystal structure of CaHO.

The space group is I-4m2 (No. 119) and the conventional cell measures 3.8046, 3.8046 and 5.3695 Å, with angles of 90.00, 90.00 and 90.00 degrees. The inequivalent atoms are Ca at (0.0000, 0.0000, 0.0000), H at (0.0000, 0.0000, 0.5000) and O at (0.0000, 0.5000, 0.2500).

The energy above the lowest structure with this stoichiometry is 725 meV/atom. The electronic total energy is -4.57 eV per atom. The value obtained for the calculated density is 2.439 Mg/m³.

A plane-wave DFT calculation with PBE-GGA was carried out for an optimized crystal structure of CaHO.

The space group is C2/m (No. 12) and the conventional cell measures 4.7164, 4.7190 and 7.7649 Å, with angles of 90.00, 90.70 and 90.00 degrees. The inequivalent atoms are Ca at (0.2470, 0.0000, 0.3455), H at (0.0550, 0.0000, 0.9643) and O at (0.2465, 0.5000, 0.3502).

The energy above the lowest structure with this stoichiometry is 0 meV/atom. The electronic total energy is -5.29 eV per atom. The value obtained for the calculated density is 2.194 Mg/m³.

A plane-wave DFT calculation with PBE-GGA was carried out for an optimized crystal structure of CaH4O2.

The space group is P4_2/mnm (No. 136) and the conventional cell measures 5.5044, 5.5044 and 3.7656 Å, with angles of 90.00, 90.00 and 90.00 degrees. The inequivalent atoms are Ca at (0.0000, 0.0000, 0.0000), H at (0.0743, 0.3791, 0.5000) and O at (0.1976, 0.1976, 0.5000).

The electronic total energy is -4.35 eV per atom. The value obtained for the calculated density is 2.215 Mg/m³.

electronic total energy of number 4 (CaH4O2)? -4.35 eV per atom

Which value of electronic total energy does entry 4 give? -4.35 eV per atom

What is the electronic total energy in the third record? -5.29 eV per atom

What is the electronic total energy in the second record? -4.57 eV per atom